(1)
A plane-wave DFT calculation with PBE-GGA was carried out for crystalline KAs2S at its relaxed geometry.

Results
- Crystal system: tetragonal
- Energy relative to the elements, uncorrected: 0.11 eV per atom

a = 6.721 Å, b = 6.721 Å, c = 6.721 Å
α = 106.73°, β = 106.73°, γ = 115.10°
Sites, in units of the cell vectors:
K (0.000, 0.000, 0.000)
K (0.750, 0.250, 0.500)
As (0.250, 0.625, 0.125)
As (0.375, 0.500, 0.625)
As (0.500, 0.125, 0.875)
As (0.875, 0.750, 0.375)
S (0.250, 0.750, 0.500)
S (0.500, 0.500, 0.000)


(2)
A plane-wave DFT calculation with PBE-GGA was carried out for crystalline PaGa7Ni2 at its relaxed geometry.

Results
- Crystal system: orthorhombic

a = 7.554 Å, b = 7.554 Å, c = 4.021 Å
α = 90.00°, β = 90.00°, γ = 118.76°
Sites, in units of the cell vectors:
Pa (0.000, 0.000, 0.000)
Ga (0.049, 0.339, 0.500)
Ga (0.232, 0.768, 0.000)
Ga (0.339, 0.049, 0.500)
Ga (0.500, 0.500, 0.500)
Ga (0.661, 0.951, 0.500)
Ga (0.768, 0.232, 0.000)
Ga (0.951, 0.661, 0.500)
Ni (0.323, 0.677, 0.500)
Ni (0.677, 0.323, 0.500)


(3)
A plane-wave DFT calculation with PBE-GGA was carried out for crystalline Rb3Pm2NpSe6 at its relaxed geometry.

Results
- Crystal system: monoclinic
- Energy relative to the elements, uncorrected: -1.56 eV per atom

a = 7.523 Å, b = 7.523 Å, c = 8.389 Å
α = 98.59°, β = 98.59°, γ = 119.95°
Sites, in units of the cell vectors:
Rb (0.000, 0.000, 0.000)
Rb (0.332, 0.668, 0.000)
Rb (0.668, 0.332, 0.000)
Pm (0.166, 0.834, 0.500)
Pm (0.834, 0.166, 0.500)
Np (0.500, 0.500, 0.500)
Se (0.103, 0.433, 0.301)
Se (0.236, 0.236, 0.700)
Se (0.433, 0.103, 0.301)
Se (0.567, 0.897, 0.699)
Se (0.764, 0.764, 0.300)
Se (0.897, 0.567, 0.699)


(4)
A plane-wave DFT calculation with PBE-GGA was carried out for crystalline Tb2Pm3ScSe6 at its relaxed geometry.

Results
- Crystal system: monoclinic
- Energy relative to the elements, uncorrected: -1.77 eV per atom

a = 9.214 Å, b = 9.214 Å, c = 8.293 Å
α = 103.83°, β = 103.83°, γ = 25.61°
Sites, in units of the cell vectors:
Tb (0.166, 0.166, 0.333)
Tb (0.834, 0.834, 0.667)
Pm (0.170, 0.170, 0.836)
Pm (0.500, 0.500, 0.500)
Pm (0.830, 0.830, 0.164)
Sc (0.500, 0.500, 0.000)
Se (0.000, 0.000, 0.233)
Se (0.000, 0.000, 0.767)
Se (0.331, 0.331, 0.422)
Se (0.341, 0.341, 0.915)
Se (0.659, 0.659, 0.085)
Se (0.669, 0.669, 0.578)


| no. | final energy (eV per atom) |
| --- | --- |
| 1 | -3.52 |
| 2 | -4.22 |
| 3 | -5.42 |
| 4 | -6.00 |